1.
# VFe

A relaxed VFe crystal (PBE, Alexandria).

a b c (Å): 4.792 4.792 4.792
angles (deg): 144.62 130.18 62.58
Fractional coordinates of all 4 atoms:
V 0.374 0.124 0.250
V 0.626 0.876 0.750
Fe 0.127 0.377 0.750
Fe 0.873 0.623 0.250

Summary:
**Space group**: Imma, No. 74
**Energy relative to the elements**: -92 meV per atom

2.
# InSbTe2Au

A relaxed InSbTe2Au crystal (PBE, Alexandria).

a b c (Å): 5.664 5.664 5.260
angles (deg): 90.00 90.00 90.00
Fractional coordinates of all 5 atoms:
In 0.000 0.000 0.000
Sb 0.500 0.500 0.000
Te 0.000 0.500 0.500
Te 0.500 0.000 0.500
Au 0.500 0.500 0.500

Summary:
**Space group**: P4/mmm, No. 123
**Energy above the most stable polymorph in this dataset**: 0.00 eV per formula unit
**Formation energy without anion corrections**: 0.33 eV/atom